The following is a GGA-PBE calculation of Er6AlSi2 after structural relaxation, from Alexandria.

Summary:
Fermi-level density of states ... 13.791 states/eV per cell
Total DFT energy (no corrections) ... -5.1774 eV/atom
Symmetry ... No. 71
Crystal system ... orthorhombic

```
Er6AlSi2
1.0
7.836 -0.015 -2.922
-4.125 6.894 -2.324
-0.146 0.015 8.362
Er Al Si
12 2 4
direct
0.090 0.272 0.818 Er
0.910 0.728 0.182 Er
0.801 0.755 0.556 Er
0.545 0.728 0.818 Er
0.705 0.027 0.322 Er
0.295 0.973 0.678 Er
0.705 0.383 0.678 Er
0.199 0.245 0.444 Er
0.199 0.755 0.954 Er
0.801 0.245 0.046 Er
0.455 0.272 0.182 Er
0.295 0.617 0.322 Er
0.000 0.500 0.500 Al
0.000 0.000 0.000 Al
0.500 0.617 0.117 Si
0.500 0.383 0.883 Si
0.638 0.000 0.638 Si
0.362 0.000 0.362 Si
```